DFT (GGA+U) results for InFeIrO6 after structural relaxation.

Raw total energy: -6.1933 eV/atom
D(E_F): 10.52 states/eV/cell
Total moment: 7.43 μB per cell

a b c (Å): 5.2714 5.2714 8.6440
angles (deg): 90.00 90.00 120.00
Closest atoms and distances in Å follow each position.
Space group P-31c (No. 163)
Inequivalent atoms, fractional coordinates:
In  0.3333  0.6667  0.2500 [2 per cell]  6 O 2.17
Fe  0.0000  0.0000  0.0000 [2 per cell]  6 O 2.08
Ir  0.3333  0.6667  0.7500 [2 per cell]  6 O 1.96
O  0.0318  0.3527  0.6235 [12 per cell]  1 Ir 1.96, 1 Fe 2.08, 1 In 2.17